1.
A plane-wave DFT calculation with GGA-PBEsol was carried out for a relaxed structure of K2MnH2.

Unit cell a=6.4009 b=6.4009 c=6.4009 alpha=136.15 beta=136.15 gamma=63.74
Fractional positions:
1 K 0.1639 0.1639 0.0000
2 K 0.8361 0.8361 0.0000
3 Mn 0.5000 0.5000 0.0000
4 H 0.2500 0.7500 0.5000
5 H 0.7500 0.2500 0.5000

Values from the calculation:
* volume: 124 Å³/cell
* space-group type: I4/mmm (139)
* E: -15.0 eV per cell
* distance to the lowest polymorph of the same formula: 0.030 eV per atom
* spin magnetization: 5.000 μB per formula unit



2.
A plane-wave DFT calculation with GGA-PBEsol was carried out for a relaxed structure of K2MnH2.

Unit cell a=8.0629 b=8.0629 c=2.9708 alpha=90.00 beta=90.00 gamma=90.00
Fractional positions:
1 K 0.1438 0.3562 0.0000
2 K 0.3562 0.8562 0.0000
3 K 0.6438 0.1438 0.0000
4 K 0.8562 0.6438 0.0000
5 Mn 0.0000 0.0000 0.0000
6 Mn 0.5000 0.5000 0.0000
7 H 0.1508 0.6508 0.5000
8 H 0.3492 0.1508 0.5000
9 H 0.6508 0.8492 0.5000
10 H 0.8492 0.3492 0.5000

Values from the calculation:
* volume: 193 Å³/cell
* space-group type: P4/mbm (127)
* E: -30.3 eV per cell
* distance to the lowest polymorph of the same formula: 0.000 eV per atom
* spin magnetization: 4.681 μB per formula unit



3.
A plane-wave DFT calculation with GGA-PBEsol was carried out for a relaxed structure of K3MnH5.

Unit cell a=7.7157 b=7.7157 c=7.7157 alpha=122.92 beta=122.92 gamma=85.02
Fractional positions:
1 K 0.1811 0.6811 0.8621
2 K 0.2500 0.2500 0.0000
3 K 0.3189 0.1811 0.5000
4 K 0.6811 0.8189 0.5000
5 K 0.7500 0.7500 0.0000
6 K 0.8189 0.3189 0.1379
7 Mn 0.2500 0.7500 0.5000
8 Mn 0.7500 0.2500 0.5000
9 H 0.0000 0.0000 0.0000
10 H 0.0256 0.7864 0.5000
11 H 0.2136 0.7136 0.2391
12 H 0.2864 0.5256 0.5000
13 H 0.4744 0.9744 0.7609
14 H 0.5000 0.5000 0.0000
15 H 0.5256 0.0256 0.2391
16 H 0.7136 0.4744 0.5000
17 H 0.7864 0.2864 0.7609
18 H 0.9744 0.2136 0.5000

Values from the calculation:
* volume: 309 Å³/cell
* space-group type: I4/mcm (140)
* E: -60.1 eV per cell
* spin magnetization: 5.000 μB per formula unit



4.
A plane-wave DFT calculation with GGA-PBEsol was carried out for a relaxed structure of KMnPH2O5.

Unit cell a=5.6642 b=8.3387 c=4.8008 alpha=90.00 beta=90.00 gamma=90.00
Fractional positions:
1 K 0.0000 0.0425 0.0000
2 K 0.5000 0.9575 0.5000
3 Mn 0.0000 0.4782 0.8948
4 Mn 0.5000 0.5218 0.3948
5 P 0.0000 0.7198 0.4586
6 P 0.5000 0.2802 0.9586
7 H 0.1394 0.3047 0.4392
8 H 0.3606 0.6953 0.9392
9 H 0.6394 0.6953 0.9392
10 H 0.8606 0.3047 0.4392
11 O 0.0000 0.2903 0.5635
12 O 0.0000 0.6812 0.1455
13 O 0.0000 0.9004 0.5083
14 O 0.2198 0.6377 0.6035
15 O 0.2802 0.3623 0.1035
16 O 0.5000 0.0996 0.0083
17 O 0.5000 0.3188 0.6455
18 O 0.5000 0.7097 0.0635
19 O 0.7198 0.3623 0.1035
20 O 0.7802 0.6377 0.6035

Values from the calculation:
* volume: 227 Å³/cell
* space-group type: Pmn2_1 (31)
* E: -134.0 eV per cell
* spin magnetization: 5.000 μB per formula unit



5.
A plane-wave DFT calculation with GGA-PBEsol was carried out for a relaxed structure of K2Mn3V2H2O10.

Unit cell a=8.0315 b=8.0315 c=5.3210 alpha=104.03 beta=104.03 gamma=44.41
Fractional positions:
1 K 0.2362 0.2362 0.2966
2 K 0.7638 0.7638 0.7034
3 Mn 0.0000 0.0000 0.0000
4 Mn 0.2627 0.7373 0.5000
5 Mn 0.7373 0.2627 0.5000
6 V 0.3795 0.3795 0.9099
7 V 0.6205 0.6205 0.0901
8 H 0.1441 0.1441 0.7559
9 H 0.8559 0.8559 0.2441
10 O 0.0743 0.0743 0.7176
11 O 0.1809 0.6543 0.7790
12 O 0.2614 0.2614 0.8184
13 O 0.3457 0.8191 0.2210
14 O 0.4170 0.4170 0.2528
15 O 0.5830 0.5830 0.7472
16 O 0.6543 0.1809 0.7790
17 O 0.7386 0.7386 0.1816
18 O 0.8191 0.3457 0.2210
19 O 0.9257 0.9257 0.2824

Values from the calculation:
* volume: 232 Å³/cell
* space-group type: C2/m (12)
* E: -144.4 eV per cell
* spin magnetization: 15.001 μB per formula unit



6.
A plane-wave DFT calculation with GGA-PBEsol was carried out for a relaxed structure of KMn2HPt.

Unit cell a=5.7943 b=5.7943 c=5.0704 alpha=90.00 beta=90.00 gamma=90.00
Fractional positions:
1 K 0.0000 0.0000 0.0000
2 Mn 0.0000 0.5000 0.0000
3 Mn 0.5000 0.0000 0.0000
4 H 0.5000 0.5000 0.5000
5 Pt 0.0000 0.0000 0.5000

Values from the calculation:
* volume: 170 Å³/cell
* space-group type: P4/mmm (123)
* E: -17.2 eV per cell
* spin magnetization: 10.989 μB per formula unit



7.
A plane-wave DFT calculation with GGA-PBEsol was carried out for a relaxed structure of KMnTl2H.

Unit cell a=5.9195 b=5.9195 c=3.9894 alpha=90.00 beta=90.00 gamma=90.00
Fractional positions:
1 K 0.0000 0.0000 0.0000
2 Mn 0.5000 0.5000 0.5000
3 Tl 0.0000 0.5000 0.0000
4 Tl 0.5000 0.0000 0.0000
5 H 0.0000 0.0000 0.5000

Values from the calculation:
* volume: 140 Å³/cell
* space-group type: P4/mmm (123)
* E: -13.9 eV per cell
* spin magnetization: 4.183 μB per formula unit



8.
A plane-wave DFT calculation with GGA-PBEsol was carried out for a relaxed structure of KMoH3.

Unit cell a=3.8311 b=3.8311 c=3.8311 alpha=90.00 beta=90.00 gamma=90.00
Fractional positions:
1 K 0.0000 0.0000 0.0000
2 Mo 0.5000 0.5000 0.5000
3 H 0.0000 0.5000 0.5000
4 H 0.5000 0.0000 0.5000
5 H 0.5000 0.5000 0.0000

Values from the calculation:
* volume: 56 Å³/cell
* space-group type: Pm-3m (221)
* E: -21.2 eV per cell
* spin magnetization: 2.098 μB per formula unit